Record 1
Here is a PBEsol-optimized structure of ZnPt3 from Alexandria via LeMat-Bulk. Energies are from meta-GGA SCAN.

a b c (Å): 5.565 7.555 2.763
angles (deg): 90.00 90.00 90.00
Space group Cmmm (No. 65)
Inequivalent atoms, fractional coordinates:
Zn 0.000 0.000 0.000 x2
Pt 0.000 0.500 0.000 x2
Pt 0.250 0.250 0.500 x4

Results
For the formation energy, the calculation gives -136 kJ/mol of formula units. The density of states at the Fermi level is 2.8 states/eV/f.u. The crystal system is orthorhombic.



Record 2
Here is a PBEsol-optimized structure of ZnPt4 from Alexandria via LeMat-Bulk. Energies are from meta-GGA SCAN.

a b c (Å): 6.113 6.113 3.928
angles (deg): 90.00 90.00 90.00
Space group I4/m (No. 87)
Inequivalent atoms, fractional coordinates:
Zn 0.000 0.000 0.000 x2
Pt 0.105 0.300 0.500 x8

Results
For the formation energy, the calculation gives -107 kJ/mol of formula units. The density of states at the Fermi level is 5.0 states/eV/f.u. The crystal system is tetragonal.